Compound: LiCaSc2
Source: the Alexandria database
Functional: PBE-GGA
Structure: relaxed

Unit cell a=11.327 b=11.327 c=11.327 alpha=154.17 beta=154.17 gamma=36.85
Positions (direct):
Li 0.000 0.000 0.000
Li 0.750 0.250 0.500
Ca 0.250 0.750 0.500
Ca 0.500 0.500 0.000
Sc 0.375 0.123 0.248
Sc 0.873 0.625 0.748
Sc 0.875 0.127 0.752
Sc 0.877 0.125 0.252

Its space group is I-42d, No. 122. Its density is 1.7 Mg/m³. The energy above the most stable polymorph in this dataset comes out at 745 meV/atom. The calculation puts the formation energy at 0.8777 eV per atom.



Compound: Li2CaSc
Source: the Alexandria database
Functional: PBE-GGA
Structure: relaxed

Unit cell a=5.245 b=5.245 c=5.245 alpha=60.00 beta=60.00 gamma=60.00
Positions (direct):
Li 0.250 0.250 0.250
Li 0.750 0.750 0.750
Ca 0.000 0.000 0.000
Sc 0.500 0.500 0.500

Its space group is Fm-3m, No. 225. Its density is 1.6 Mg/m³. The energy above the most stable polymorph in this dataset comes out at 51 meV/atom. The calculation puts the formation energy at 0.1895 eV per atom.



Compound: LiCaSc
Source: the Alexandria database
Functional: PBE-GGA
Structure: relaxed

Unit cell a=5.445 b=5.445 c=3.312 alpha=90.00 beta=90.00 gamma=120.00
Positions (direct):
Li 0.000 0.000 0.000
Ca 0.333 0.667 0.746
Sc 0.667 0.333 0.329

Its space group is P3m1, No. 156. Its density is 1.8 Mg/m³. The energy above the most stable polymorph in this dataset comes out at 198 meV/atom. The calculation puts the formation energy at 0.2808 eV per atom.



Compound: LiCaSc2
Source: the Alexandria database
Functional: PBE-GGA
Structure: relaxed

Unit cell a=4.453 b=4.453 c=5.419 alpha=90.00 beta=90.00 gamma=90.00
Positions (direct):
Li 0.000 0.000 0.000
Ca 0.500 0.500 0.000
Sc 0.000 0.500 0.500
Sc 0.500 0.000 0.500

Its space group is P4/mmm, No. 123. Its density is 2.1 Mg/m³. The energy above the most stable polymorph in this dataset comes out at 130 meV/atom. The calculation puts the formation energy at 0.2630 eV per atom.



Compound: Li2CaSc
Source: the Alexandria database
Functional: PBE-GGA
Structure: relaxed

Unit cell a=3.580 b=3.580 c=7.985 alpha=90.00 beta=90.00 gamma=90.00
Positions (direct):
Li 0.000 0.000 0.000
Li 0.500 0.500 0.170
Ca 0.500 0.500 0.711
Sc 0.000 0.000 0.395

Its space group is P4mm, No. 99. Its density is 1.6 Mg/m³. The energy above the most stable polymorph in this dataset comes out at 0 meV/atom. The calculation puts the formation energy at 0.1389 eV per atom.



Compound: LiCaSc
Source: the Alexandria database
Functional: PBE-GGA
Structure: relaxed

Unit cell a=3.466 b=3.466 c=8.300 alpha=90.00 beta=90.00 gamma=120.00
Positions (direct):
Li 0.000 0.000 0.000
Ca 0.333 0.667 0.651
Sc 0.667 0.333 0.301

Its space group is P3m1, No. 156. Its density is 1.8 Mg/m³. The energy above the most stable polymorph in this dataset comes out at 158 meV/atom. The calculation puts the formation energy at 0.2412 eV per atom.



Compound: LiCaSc2
Source: the Alexandria database
Functional: PBE-GGA
Structure: relaxed

Unit cell a=11.153 b=11.153 c=11.153 alpha=17.56 beta=17.56 gamma=17.56
Positions (direct):
Li 0.000 0.000 0.000
Ca 0.245 0.245 0.245
Sc 0.488 0.488 0.488
Sc 0.746 0.746 0.746

Its space group is R3m, No. 160. Its density is 2.1 Mg/m³. The energy above the most stable polymorph in this dataset comes out at 47 meV/atom. The calculation puts the formation energy at 0.1797 eV per atom.



Compound: LiCaSc2
Source: the Alexandria database
Functional: PBE-GGA
Structure: relaxed

Unit cell a=3.311 b=5.725 c=5.717 alpha=90.00 beta=96.06 gamma=90.00
Positions (direct):
Li 0.000 0.000 0.000
Ca 0.500 0.000 0.500
Sc 0.226 0.500 0.753
Sc 0.774 0.500 0.247

Its space group is P2/m, No. 10. Its density is 2.1 Mg/m³. The energy above the most stable polymorph in this dataset comes out at 114 meV/atom. The calculation puts the formation energy at 0.2472 eV per atom.



Copy entry 3 word for word.
Compound: LiCaSc
Source: the Alexandria database
Functional: PBE-GGA
Structure: relaxed

Unit cell a=5.445 b=5.445 c=3.312 alpha=90.00 beta=90.00 gamma=120.00
Positions (direct):
Li 0.000 0.000 0.000
Ca 0.333 0.667 0.746
Sc 0.667 0.333 0.329

Its space group is P3m1, No. 156. Its density is 1.8 Mg/m³. The energy above the most stable polymorph in this dataset comes out at 198 meV/atom. The calculation puts the formation energy at 0.2808 eV per atom.